1.
The following is a PBE calculation of an optimized crystal structure of Rb4Nd3ZrSe8, from Alexandria via LeMat-Bulk. Values from VASP.

Output
energy relative to the elements, uncorrected: -1.600 eV/atom
N(E_F): 5.0 states/eV per cell
total magnetic moment: 0.1 μB/cell

```
&SYSTEM
  ibrav = 0, nat = 16, ntyp = 4
/
ATOMIC_SPECIES
Se 78.96 Se.upf
Nd 144.24 Nd.upf
Rb 85.47 Rb.upf
Zr 91.22 Zr.upf
CELL_PARAMETERS angstrom
-4.725 -4.008 -5.882
7.144 0.576 -6.131
1.619 -3.787 7.485
ATOMIC_POSITIONS angstrom
Se 1.708 -2.896 0.602
Nd 4.381 -1.605 0.677
Nd 2.019 -3.609 -2.264
Rb 0.000 0.000 0.000
Rb 0.809 -1.894 3.742
Se 2.330 -4.323 -5.130
Se 1.034 -0.916 -3.126
Rb -1.553 -3.898 0.801
Nd 1.210 -1.716 -6.007
Se -1.467 -3.038 -6.240
Se -0.611 -5.042 -2.278
Se 5.506 -4.181 1.711
Se 4.649 -2.177 -2.251
Se 3.004 -6.303 -1.403
Zr 3.572 0.288 -3.066
Rb -2.362 -2.004 -2.941
```

2.
The following is a PBE calculation of an optimized crystal structure of RbNdSiTe4, from Alexandria via LeMat-Bulk. Values from VASP.

Output
energy relative to the elements, uncorrected: -0.839 eV/atom
total magnetic moment: 0.0 μB/cell

```
&SYSTEM
  ibrav = 0, nat = 14, ntyp = 4
/
ATOMIC_SPECIES
Te 127.60 Te.upf
Rb 85.47 Rb.upf
Nd 144.24 Nd.upf
Si 28.09 Si.upf
CELL_PARAMETERS angstrom
7.294 0.000 -0.129
0.000 7.595 0.000
-3.030 0.000 9.678
ATOMIC_POSITIONS angstrom
Te 1.314 5.696 5.539
Rb 1.590 1.899 0.536
Te -2.041 7.531 6.901
Te 1.766 1.899 8.021
Te -2.041 3.862 6.901
Nd 0.020 1.899 5.314
Te 6.305 3.733 2.648
Te 2.949 1.899 4.010
Rb 2.674 5.696 9.014
Te 6.305 0.065 2.648
Si 0.573 5.696 3.134
Nd 4.244 5.696 4.236
Te 2.498 5.696 1.529
Si 3.691 1.899 6.416
```

Question: Which formula does entry 1 have?
Answer: Rb4Nd3ZrSe8

Question: Which value of total magnetic moment does entry 1 give?
Answer: 0.1 μB/cell